Crystalline Li4Mo3O8 at its relaxed geometry. Source: Alexandria via LeMat-Bulk, functional PBE with a Hubbard U.

Its space-group type is R-3m, No. 166. The total energy comes out at -95.94 eV per cell. The calculation puts the spin magnetization at 6.00 μB per formula unit. The distance to the lowest polymorph of the same formula comes out at 0 meV/atom. The theoretical density is 4203 kg/m³.

```
Li4Mo3O8
1.0
-0.656 5.005 -3.839
-5.400 1.035 -3.159
-3.822 4.828 1.516
Li Mo O
4 3 8
direct
0.500 0.500 0.500
0.642 0.642 0.642
0.358 0.358 0.358
0.000 0.000 0.000
0.000 0.500 0.000
0.500 0.000 0.000
0.000 0.000 0.500
0.256 0.780 0.256
0.780 0.256 0.256
0.744 0.744 0.220
0.239 0.239 0.239
0.220 0.744 0.744
0.761 0.761 0.761
0.744 0.220 0.744
0.256 0.256 0.780
```